#A
Entry from Alexandria: an optimized crystal structure of Ge3TeF (PBE-GGA).

**DOS at the Fermi energy**: 3.94 states/eV/cell
**ρ**: 5.64 g/cm3

a b c (Å): 4.753 4.753 4.753
angles (deg): 90.00 90.00 90.00
Fractional positions:
Ge (0.000, 0.000, 0.500)
Ge (0.000, 0.500, 0.000)
Ge (0.500, 0.000, 0.000)
F (0.000, 0.000, 0.000)
Te (0.500, 0.500, 0.500)

***

#B
Entry from Alexandria: an optimized crystal structure of Ge3TeF (PBE-GGA).

**DOS at the Fermi energy**: 5.03 states/eV/cell
**ρ**: 3.54 g/cm3

a b c (Å): 5.549 5.549 5.549
angles (deg): 90.00 90.00 90.00
Fractional positions:
Ge (0.500, 0.000, 0.000)
Ge (0.000, 0.000, 0.500)
Ge (0.000, 0.500, 0.000)
F (0.500, 0.500, 0.500)
Te (0.000, 0.000, 0.000)

***

#A comes first in stability; the runner-up is 666 meV per atom higher.